Here is TaAl2Sb after structural relaxation from the Alexandria database. Energies are from PBE. Values from VASP.

Structure (Quantum ESPRESSO input):
```
&SYSTEM
  ibrav = 0, nat = 4, ntyp = 3
/
ATOMIC_SPECIES
Ta 180.95 Ta.upf
Al 26.98 Al.upf
Sb 121.76 Sb.upf
ATOMIC_POSITIONS crystal
Ta 0.000 0.000 0.000
Al 0.500 0.500 0.231
Al 0.500 0.500 0.769
Sb 0.000 0.000 0.500
CELL_PARAMETERS angstrom
3.629 0.000 0.000
0.000 3.641 0.000
0.000 0.000 5.588
```

Calculated values
The calculation puts the density of states at the Fermi level at 1.8 states/eV/f.u. For the uncorrected formation energy, the calculation gives 0.014 eV per atom. The value obtained for the spin magnetization is 0.00 μB/cell. The space group is No. 47. The electronic total energy comes out at -23.402 eV/cell.

=====

Here is CsKAu after structural relaxation from the Alexandria database. Energies are from PBE. Values from VASP.

Structure (Quantum ESPRESSO input):
```
&SYSTEM
  ibrav = 0, nat = 3, ntyp = 3
/
ATOMIC_SPECIES
Cs 132.91 Cs.upf
K 39.10 K.upf
Au 196.97 Au.upf
ATOMIC_POSITIONS crystal
Cs 0.000 0.000 0.000
K 0.237 0.237 0.000
Au 0.629 0.629 0.000
CELL_PARAMETERS angstrom
-2.147 2.147 8.332
2.147 -2.147 8.332
2.147 2.147 -8.332
```

Calculated values
The calculation puts the density of states at the Fermi level at 2.4 states/eV/f.u. The calculation puts the calculated formation energy at -0.2024 eV per atom. The value obtained for the spin magnetization is 0.00 μB/cell. The space group is No. 107. The electronic total energy comes out at -5.836 eV/cell.

=====

Here is ZnFeGeRu after structural relaxation from the Alexandria database. Energies are from PBE. Values from VASP.

Structure (Quantum ESPRESSO input):
```
&SYSTEM
  ibrav = 0, nat = 4, ntyp = 4
/
ATOMIC_SPECIES
Zn 65.41 Zn.upf
Fe 55.84 Fe.upf
Ge 72.64 Ge.upf
Ru 101.07 Ru.upf
ATOMIC_POSITIONS crystal
Zn 0.000 0.000 0.000
Fe 0.750 0.750 0.750
Ge 0.500 0.500 0.500
Ru 0.250 0.250 0.250
CELL_PARAMETERS angstrom
0.000 2.967 2.967
2.967 0.000 2.967
2.967 2.967 0.000
```

Calculated values
The calculation puts the density of states at the Fermi level at 4.9 states/eV/f.u. The calculation puts the calculated formation energy at -0.0278 eV per atom. The value obtained for the spin magnetization is 1.34 μB/cell. The space group is No. 216. The electronic total energy comes out at -23.741 eV/cell.

=====

Here is AcGdSi after structural relaxation from the Alexandria database. Energies are from PBE. Values from VASP.

Structure (Quantum ESPRESSO input):
```
&SYSTEM
  ibrav = 0, nat = 3, ntyp = 3
/
ATOMIC_SPECIES
Ac 227.00 Ac.upf
Gd 157.25 Gd.upf
Si 28.09 Si.upf
ATOMIC_POSITIONS crystal
Ac 0.000 0.000 0.000
Gd 0.500 0.500 0.500
Si 0.750 0.750 0.750
CELL_PARAMETERS angstrom
0.000 3.626 3.626
3.626 0.000 3.626
3.626 3.626 0.000
```

Calculated values
The calculation puts the density of states at the Fermi level at 4.0 states/eV/f.u. For the uncorrected formation energy, the calculation gives -0.345 eV per atom. The value obtained for the spin magnetization is 7.75 μB/cell. The space group is No. 216. The electronic total energy comes out at -24.648 eV/cell.

=====

Here is RbCo2As2 after structural relaxation from the Alexandria database. Energies are from PBE. Values from VASP.

Structure (Quantum ESPRESSO input):
```
&SYSTEM
  ibrav = 0, nat = 5, ntyp = 3
/
ATOMIC_SPECIES
Rb 85.47 Rb.upf
Co 58.93 Co.upf
As 74.92 As.upf
ATOMIC_POSITIONS crystal
Rb 0.000 0.000 0.000
Co 0.000 0.500 0.500
Co 0.500 0.000 0.500
As 0.500 0.500 0.306
As 0.500 0.500 0.694
CELL_PARAMETERS angstrom
3.652 0.000 0.000
0.000 3.652 0.000
0.000 0.000 7.826
```

Calculated values
The calculation puts the density of states at the Fermi level at 4.5 states/eV/f.u. The calculation puts the calculated formation energy at -0.1603 eV per atom. The value obtained for the spin magnetization is 1.28 μB/cell. The space group is No. 123. The electronic total energy comes out at -25.280 eV/cell.

=====

Here is BaCrW2 after structural relaxation from the Alexandria database. Energies are from PBE. Values from VASP.

Structure (Quantum ESPRESSO input):
```
&SYSTEM
  ibrav = 0, nat = 4, ntyp = 3
/
ATOMIC_SPECIES
Ba 137.33 Ba.upf
Cr 52.00 Cr.upf
W 183.84 W.upf
ATOMIC_POSITIONS crystal
Ba 0.000 0.000 0.000
Cr 0.423 0.500 0.345
W 0.313 0.500 0.632
W 0.834 0.000 0.476
CELL_PARAMETERS angstrom
3.032 0.000 0.000
0.000 4.077 0.000
-1.335 0.000 7.360
```

Calculated values
The calculation puts the density of states at the Fermi level at 3.1 states/eV/f.u. The calculation puts the calculated formation energy at 0.9031 eV per atom. The value obtained for the spin magnetization is 0.00 μB/cell. The space group is No. 6. The electronic total energy comes out at -33.840 eV/cell.